(1)
This record from Alexandria describes a relaxed Y5Be3 crystal. The functional is PBE-GGA.

POSCAR file:
```
Y5Be3
1.0
-4.8455 -2.8103 6.4408
7.9145 2.8259 -1.4992
-3.9438 7.5143 -1.0031
Y Be
10 6
Direct
0.2496 0.7499 0.5001 Y
0.7494 0.2501 0.4999 Y
0.7903 0.0845 0.8750 Y
0.2089 0.9155 0.1250 Y
0.7090 0.5842 0.2939 Y
0.2902 0.4158 0.7061 Y
0.5841 0.2907 0.8750 Y
0.4152 0.7093 0.1250 Y
0.0837 0.2094 0.2939 Y
0.9155 0.7907 0.7061 Y
0.7496 0.7500 0.0000 Be
0.2497 0.2500 0.0000 Be
0.3400 0.1592 0.5000 Be
0.6590 0.8408 0.5000 Be
0.1588 0.6592 0.8186 Be
0.8403 0.3407 0.1814 Be
```

Output
The polymorph energy (0 for the lowest one) comes out at 13 meV/atom.


(2)
This record from Alexandria describes a relaxed Zr4CuOs crystal. The functional is PBE-GGA.

POSCAR file:
```
Zr4CuOs
1.0
-0.7696 -1.8829 2.5569
2.7079 -1.7633 -0.4835
5.6003 6.7710 6.6719
Zr Cu Os
4 1 1
Direct
0.5000 0.5000 0.8419 Zr
0.5000 0.5000 0.1581 Zr
0.0000 0.0000 0.6497 Zr
0.0000 0.0000 0.3503 Zr
0.0000 0.0000 0.0000 Cu
0.5000 0.5000 0.5000 Os
```

Output
The polymorph energy (0 for the lowest one) comes out at 0 meV/atom.


(3)
This record from Alexandria describes a relaxed IrIClF2 crystal. The functional is PBE-GGA.

POSCAR file:
```
IrIClF2
1.0
-1.9998 -0.0623 3.8443
-2.1028 -4.4762 -1.1664
3.4009 -2.0500 1.7359
I F Ir Cl
1 2 1 1
Direct
0.0000 0.0000 0.0000 I
0.0000 0.0000 0.5000 F
0.5000 0.0000 0.0000 F
0.0000 0.5000 0.0000 Ir
0.5000 0.5000 0.5000 Cl
```

Output
The energy relative to the elements, uncorrected is 15 meV/atom.


(4)
This record from Alexandria describes a relaxed Y6Ni2Ir crystal. The functional is PBE-GGA.

POSCAR file:
```
Y6Ni2Ir
1.0
-2.0453 4.2324 6.7657
-5.2646 1.7103 -6.1016
-0.3069 -8.0660 1.6480
Y Ni Ir
12 4 2
Direct
0.4366 0.2622 0.1744 Y
0.5634 0.7378 0.8256 Y
0.9122 0.7378 0.1744 Y
0.0878 0.2622 0.8256 Y
0.1833 0.7433 0.9265 Y
0.8167 0.2567 0.0735 Y
0.8167 0.7433 0.5600 Y
0.1833 0.2567 0.4400 Y
0.3074 0.9781 0.6706 Y
0.6926 0.0219 0.3294 Y
0.6926 0.3632 0.6706 Y
0.3074 0.6368 0.3294 Y
0.5000 0.3815 0.8815 Ni
0.5000 0.6185 0.1185 Ni
0.3406 0.0000 0.3406 Ni
0.6594 0.0000 0.6594 Ni
0.0000 0.5000 0.5000 Ir
0.0000 0.0000 0.0000 Ir
```

Output
The uncorrected energy comes out at -6.988 eV per atom.


(5)
This record from Alexandria describes a relaxed Rb3CaPa3Se8 crystal. The functional is PBE-GGA.

POSCAR file:
```
Rb3CaPa3Se8
1.0
-0.1772 8.3570 -1.2842
-1.5737 -3.1295 7.6981
9.0424 -0.2531 -2.8945
Rb Ca Pa Se
3 1 3 8
Direct
0.0000 0.0000 0.0000 Rb
0.0000 0.5000 0.0000 Rb
0.5000 0.5000 0.0000 Rb
0.0000 0.0000 0.5000 Ca
0.5000 0.0000 0.5000 Pa
0.5000 0.5000 0.5000 Pa
0.0000 0.5000 0.5000 Pa
0.2673 0.5347 0.3019 Se
0.7327 0.4653 0.6981 Se
0.7629 0.5258 0.3048 Se
0.2371 0.4742 0.6952 Se
0.7628 0.0421 0.3048 Se
0.2372 0.9579 0.6952 Se
0.2794 0.0421 0.3048 Se
0.7206 0.9579 0.6952 Se
```

Output
The energy relative to the elements, uncorrected is -1442 meV/atom.


(6)
This record from Alexandria describes a relaxed Hg2ClF3 crystal. The functional is PBE-GGA.

POSCAR file:
```
Hg2ClF3
1.0
-3.8282 -0.1294 0.4498
1.7349 -6.9445 -1.5120
0.4090 -2.9230 8.9941
Hg Cl F
4 2 6
Direct
0.3700 0.8346 0.7885 Hg
0.6300 0.1654 0.2115 Hg
0.9154 0.7290 0.4286 Hg
0.0846 0.2710 0.5714 Hg
0.8789 0.7376 0.9653 Cl
0.1211 0.2624 0.0347 Cl
0.2410 0.6160 0.5841 F
0.8386 0.9137 0.6357 F
0.4769 0.1969 0.7039 F
0.5231 0.8031 0.2961 F
0.1614 0.0863 0.3643 F
0.7590 0.3840 0.4159 F
```

Output
The energy relative to the elements, uncorrected is -1208 meV/atom. The polymorph energy (0 for the lowest one) comes out at 0 meV/atom.


(7)
This record from Alexandria describes a relaxed U2BiS crystal. The functional is PBE-GGA.

POSCAR file:
```
U2BiS
1.0
4.0692 0.0000 0.0000
2.0346 3.5240 0.0000
2.0346 1.1747 7.1767
U Bi S
2 1 1
Direct
0.0651 0.0651 0.8047 U
0.2677 0.2677 0.1969 U
0.4985 0.4985 0.5046 Bi
0.6687 0.6687 0.9938 S
```

Output
The energy relative to the elements, uncorrected is -511 meV/atom. The polymorph energy (0 for the lowest one) comes out at 53 meV/atom.


(8)
This record from Alexandria describes a relaxed LiCa2Si4Pt3 crystal. The functional is PBE-GGA.

POSCAR file:
```
LiCa2Si4Pt3
1.0
4.1882 0.0000 0.0000
0.0000 4.1882 0.0000
0.0000 0.0000 10.0460
Li Ca Si Pt
1 2 4 3
Direct
0.5000 0.5000 0.5000 Li
0.5000 0.0000 0.2511 Ca
0.0000 0.5000 0.7489 Ca
0.5000 0.5000 0.0000 Si
0.0000 0.0000 0.0000 Si
0.5000 0.0000 0.6333 Si
0.0000 0.5000 0.3667 Si
0.0000 0.0000 0.5000 Pt
0.5000 0.0000 0.8741 Pt
0.0000 0.5000 0.1259 Pt
```

Output
The energy relative to the elements, uncorrected is -834 meV/atom.


(9)
This record from Alexandria describes a relaxed Cr2CdBr crystal. The functional is PBE-GGA.

POSCAR file:
```
Cr2CdBr
1.0
4.6286 0.0000 0.0000
0.0000 4.6286 0.0000
2.3143 2.3143 9.1692
Cr Br Cd
4 2 2
Direct
0.6168 0.1250 0.2500 Cr
0.1332 0.6250 0.2500 Cr
0.3750 0.3832 0.7500 Cr
0.8750 0.8668 0.7500 Cr
0.5000 0.5000 0.0000 Br
0.2500 0.7500 0.5000 Br
0.0000 0.0000 0.0000 Cd
0.7500 0.2500 0.5000 Cd
```

Output
The energy relative to the elements, uncorrected is 746 meV/atom. The polymorph energy (0 for the lowest one) comes out at 500 meV/atom.


(10)
This record from Alexandria describes a relaxed Cs2CdPF6 crystal. The functional is PBE-GGA.

POSCAR file:
```
Cs2CdPF6
1.0
6.0820 0.0000 0.0000
0.0000 6.0820 0.0000
3.0410 3.0410 5.5603
Cs P F Cd
2 1 6 1
Direct
0.7500 0.2500 0.5000 Cs
0.2500 0.7500 0.5000 Cs
0.5000 0.5000 0.0000 P
0.1927 0.1927 0.6146 F
0.8073 0.8073 0.3854 F
0.2740 0.2740 0.0000 F
0.7260 0.7260 0.0000 F
0.7260 0.2740 0.0000 F
0.2740 0.7260 0.0000 F
0.0000 0.0000 0.0000 Cd
```

Output
The energy relative to the elements, uncorrected is -2187 meV/atom.


(11)
This record from Alexandria describes a relaxed BaCuBi2Pb crystal. The functional is PBE-GGA.

POSCAR file:
```
BaCuBi2Pb
1.0
5.5069 0.0000 0.0000
0.0000 5.5069 0.0000
0.0000 0.0000 5.3742
Pb Bi Cu Ba
1 2 1 1
Direct
0.0000 0.0000 0.5000 Pb
0.0000 0.5000 0.0000 Bi
0.5000 0.0000 0.0000 Bi
0.0000 0.0000 0.0000 Cu
0.5000 0.5000 0.5000 Ba
```

Output
The uncorrected energy comes out at -3.688 eV per atom.


(12)
This record from Alexandria describes a relaxed Nd3GaNi8 crystal. The functional is PBE-GGA.

POSCAR file:
```
Nd3GaNi8
1.0
5.0910 0.0000 0.0000
2.5455 4.4090 0.0000
2.5455 1.4697 8.2798
Nd Ga Ni
3 1 8
Direct
0.3776 0.3776 0.8673 Nd
0.9903 0.9903 0.0292 Nd
0.5068 0.5068 0.4797 Nd
0.8648 0.8648 0.4055 Ga
0.9402 0.4356 0.1887 Ni
0.4424 0.9394 0.6788 Ni
0.4356 0.4356 0.1887 Ni
0.9394 0.9394 0.6788 Ni
0.1893 0.1893 0.4322 Ni
0.6888 0.6888 0.9335 Ni
0.4356 0.9402 0.1887 Ni
0.9394 0.4424 0.6788 Ni
```

Output
The uncorrected energy comes out at -5.626 eV per atom.